# Al2HgPt2, relaxed, DFT PBE-GGA
# Formation energy, eV per atom: -0.635
# Distance to the lowest polymorph of the same formula, eV/atom: 0.046
data_Al2HgPt2
_cell_length_a 3.8867
_cell_length_b 3.8867
_cell_length_c 6.5045
_cell_angle_alpha 72.62
_cell_angle_beta 72.62
_cell_angle_gamma 90.00
_symmetry_space_group_name_H-M 'P 1'
_symmetry_Int_Tables_number 1
_symmetry_space_group_name_Hall 'P 1'
loop_
_atom_site_label
_atom_site_type_symbol
_atom_site_fract_x
_atom_site_fract_y
_atom_site_fract_z
Hg1 Hg 0.0000 0.0000 0.0000
Pt1 Pt 0.3834 0.3834 0.2333
Pt2 Pt 0.6166 0.6166 0.7667
Al1 Al 0.7500 0.2500 0.5000
Al2 Al 0.2500 0.7500 0.5000